A relaxed ZnCoO2 crystal, computed with PBE+U.

Calculated values
Electronic total energy in eV/atom: -4.830

a = 5.4572 Å, b = 5.4572 Å, c = 4.6900 Å
α = 54.42°, β = 54.42°, γ = 90.00°
Site moments in Bohr magnetons follow the coordinates.
Sites, in units of the cell vectors:
Zn: 0.7500 0.2500 0.5000  0.01
Zn: 0.2500 0.7500 0.5000  0.01
Co: 0.7500 0.7500 0.5000  2.69
Co: 0.2500 0.2500 0.5000  2.69
O: 0.8002 0.3002 0.0000  0.13
O: 0.1998 0.6998 0.0000  0.13
O: 0.3002 0.1998 0.0000  0.13
O: 0.6998 0.8002 0.0000  0.13